1.
Below is a relaxed Nd4DyTe7 crystal, with properties calculated at the PBE level.

## Properties
- uncorrected formation energy (eV/atom) = -1.427
- volume (Å³ per atom) = 34.5

abc: 14.6555 4.3468 13.4324
angles: 90.00 104.54 90.00
Space group Cm (No. 8)
Inequivalent atoms, fractional coordinates:
Nd 0.0000 0.0000 0.0000 (multiplicity 2)
Nd 0.0862 0.5000 0.3831 (multiplicity 2)
Nd 0.1860 0.0000 0.7648 (multiplicity 2)
Nd 0.3856 0.5000 0.5714 (multiplicity 2)
Dy 0.2709 0.5000 0.1497 (multiplicity 2)
Te 0.0477 0.5000 0.6225 (multiplicity 2)
Te 0.1301 0.5000 0.9279 (multiplicity 2)
Te 0.1503 0.0000 0.2238 (multiplicity 2)
Te 0.2234 0.0000 0.5251 (multiplicity 2)
Te 0.3490 0.5000 0.7901 (multiplicity 2)
Te 0.3819 0.0000 0.0766 (multiplicity 2)
Te 0.4215 0.5000 0.3522 (multiplicity 2)



2.
Below is a relaxed NdDyTe2 crystal, with properties calculated at the PBE level.

## Properties
- uncorrected formation energy (eV/atom) = -1.355
- volume (Å³ per atom) = 30.7

abc: 7.6128 4.4091 7.7424
angles: 90.00 109.29 90.00
Space group C2/m (No. 12)
Inequivalent atoms, fractional coordinates:
Nd 0.0000 0.0000 0.0000 (multiplicity 2)
Dy 0.0000 0.5000 0.5000 (multiplicity 2)
Te 0.2460 0.0000 0.7377 (multiplicity 4)



3.
Below is a relaxed Nd4DyTe4 crystal, with properties calculated at the PBE level.

## Properties
- uncorrected formation energy (eV/atom) = -0.849
- volume (Å³ per atom) = 36.6

abc: 7.9660 7.9660 10.3697
angles: 90.00 90.00 90.00
Space group I-42m (No. 121)
Inequivalent atoms, fractional coordinates:
Nd 0.0000 0.0000 0.1712 (multiplicity 4)
Nd 0.0000 0.5000 0.0000 (multiplicity 4)
Dy 0.0000 0.0000 0.5000 (multiplicity 2)
Te 0.2282 0.2282 0.6385 (multiplicity 8)